A geometry-optimized Sr3MgMn2S2O5 structure, computed with PBE+U.

a = 14.0180 Å, b = 14.0180 Å, c = 14.0180 Å
α = 163.82°, β = 163.82°, γ = 22.96°
Closest atoms and distances in Å follow each position.
Sites, in units of the cell vectors:
Sr (0.0000, 0.0000, 0.0000)  12 O 2.79-2.96
Sr (0.1382, 0.1382, 0.0000)  4 O 2.53-2.55
Sr (0.8618, 0.8618, 0.0000)  4 O 2.53-2.55
Mg (0.2500, 0.7500, 0.5000)  4 S 2.50
Mn (0.4281, 0.4281, 0.0000)  5 O 1.97-1.99
Mn (0.5719, 0.5719, 0.0000)  5 O 1.97-1.99
S (0.3062, 0.3062, 0.0000)  2 Mg 2.50
S (0.6938, 0.6938, 0.0000)  2 Mg 2.50
O (0.0803, 0.5803, 0.5000)  2 Mn 1.99
O (0.4197, 0.9197, 0.5000)  2 Mn 1.99
O (0.5000, 0.5000, 0.0000)  2 Mn 1.97
O (0.5794, 0.0794, 0.5000)  2 Mn 1.98
O (0.9206, 0.4206, 0.5000)  2 Mn 1.98

magnetic moment: 8.0 μB/cell
space group: I-4m2, No. 119
energy: -6.24 eV per atom